Here is a relaxed Eu2HgCl crystal from Alexandria. Energies are from PBE-GGA.

Geometry as POSCAR:
```
Eu2HgCl
1.0
3.730 0.000 0.000
0.000 3.730 0.000
0.000 0.000 8.337
Eu Hg Cl
2 1 1
Cartesian
0.000 0.000 2.003
0.000 0.000 6.335
1.865 1.865 0.000
1.865 1.865 4.169
```

Excess energy over the best structure of this formula in the dataset   0.070 eV per atom
ΔE_f (raw)   -380 kJ/mol of formula units
Density   7.73 g/cm3
Electronic total energy   -26.64 eV/f.u.
SG   No. 123
Volume   116.0 Å³ per cell

***

Here is a relaxed EuICl2 crystal from Alexandria. Energies are from PBE-GGA.

Geometry as POSCAR:
```
EuICl2
1.0
2.124 1.226 11.166
-2.124 1.226 11.166
0.000 -2.453 11.166
Eu I Cl
1 1 2
Cartesian
0.000 0.000 0.000
0.000 0.000 16.749
0.000 0.000 12.599
0.000 0.000 20.898
```

ΔE_f (raw)   -613 kJ/mol of formula units
Density   3.33 g/cm3
Electronic total energy   -21.87 eV/f.u.
SG   No. 166
Volume   174.5 Å³ per cell

***

Here is a relaxed EuInCl2 crystal from Alexandria. Energies are from PBE-GGA.

Geometry as POSCAR:
```
EuInCl2
1.0
2.204 1.272 9.336
-2.204 1.272 9.336
0.000 -2.545 9.336
Eu In Cl
1 1 2
Cartesian
0.000 0.000 0.000
0.000 0.000 14.004
0.000 0.000 2.739
0.000 0.000 25.269
```

ΔE_f (raw)   -417 kJ/mol of formula units
Density   3.57 g/cm3
Electronic total energy   -21.03 eV/f.u.
SG   No. 166
Volume   157.1 Å³ per cell

***

Here is a relaxed Eu2InCl crystal from Alexandria. Energies are from PBE-GGA.

Geometry as POSCAR:
```
Eu2InCl
1.0
3.612 0.000 0.000
0.000 3.612 0.000
0.000 0.000 8.736
Eu In Cl
2 1 1
Cartesian
0.000 0.000 2.122
0.000 0.000 6.614
1.806 1.806 4.368
1.806 1.806 0.000
```

Excess energy over the best structure of this formula in the dataset   0.023 eV per atom
ΔE_f (raw)   -379 kJ/mol of formula units
Density   6.62 g/cm3
Electronic total energy   -29.07 eV/f.u.
SG   No. 123
Volume   113.9 Å³ per cell

***

Here is a relaxed Eu2InCl crystal from Alexandria. Energies are from PBE-GGA.

Geometry as POSCAR:
```
Eu2InCl
1.0
2.062 1.190 8.449
-2.062 1.190 8.449
0.000 -2.381 8.449
Eu In Cl
2 1 1
Cartesian
0.000 0.000 6.146
0.000 0.000 19.200
0.000 0.000 0.000
0.000 0.000 12.673
```

Excess energy over the best structure of this formula in the dataset   0.000 eV per atom
ΔE_f (raw)   -388 kJ/mol of formula units
Density   6.06 g/cm3
Electronic total energy   -29.16 eV/f.u.
SG   No. 166
Volume   124.4 Å³ per cell

***

Here is a relaxed EuInSeCl crystal from Alexandria. Energies are from PBE-GGA.

Geometry as POSCAR:
```
EuInSeCl
1.0
0.000 3.764 3.764
3.764 0.000 3.764
3.764 3.764 0.000
Eu In Se Cl
1 1 1 1
Cartesian
0.000 0.000 0.000
3.764 3.764 3.764
1.882 1.882 1.882
5.646 5.646 5.646
```

ΔE_f (raw)   -490 kJ/mol of formula units
Density   5.94 g/cm3
Electronic total energy   -23.42 eV/f.u.
SG   No. 216
Volume   106.6 Å³ per cell

***

Here is a relaxed K5Eu3Cl12 crystal from Alexandria. Energies are from PBE-GGA.

Geometry as POSCAR:
```
K5Eu3Cl12
1.0
-8.709 8.709 8.709
8.709 -8.709 8.709
8.709 8.709 -8.709
K Eu Cl
20 12 48
Cartesian
0.000 0.000 0.000
4.354 4.354 -4.354
4.354 -4.354 4.354
8.709 0.000 0.000
13.063 2.177 0.000
8.709 -4.354 6.532
6.532 8.709 -4.354
6.532 0.000 4.354
4.354 6.532 0.000
8.709 4.354 2.177
-4.354 4.354 4.354
0.000 8.709 0.000
0.000 0.000 8.709
4.354 4.354 4.354
0.000 4.354 6.532
4.354 2.177 8.709
2.177 8.709 4.354
2.177 0.000 13.063
0.000 13.063 2.177
-4.354 6.532 8.709
4.354 2.177 0.000
8.709 4.354 -2.177
2.177 0.000 4.354
10.886 0.000 4.354
0.000 4.354 2.177
4.354 -2.177 8.709
4.354 10.886 0.000
8.709 4.354 6.532
-2.177 8.709 4.354
6.532 8.709 4.354
0.000 4.354 10.886
4.354 6.532 8.709
8.351 -1.506 2.634
13.420 -1.720 2.848
2.634 -0.357 1.506
10.429 5.861 -4.712
11.343 0.357 1.506
10.429 -2.848 4.712
1.506 2.634 -0.357
11.557 3.997 -1.720
5.861 4.712 -1.720
7.202 2.634 0.357
-0.357 1.506 2.634
4.712 -1.720 5.861
8.351 7.202 -2.634
4.712 1.720 2.848
7.202 -2.634 8.351
5.861 -4.712 10.429
2.848 4.712 1.720
10.215 6.074 0.357
2.634 8.351 -1.506
10.429 2.848 3.997
1.720 2.848 4.712
2.634 0.357 7.202
4.712 10.429 -2.848
8.351 1.506 6.074
0.357 7.202 2.634
3.997 -1.720 11.557
6.074 8.351 1.506
6.989 5.861 3.997
-1.720 5.861 4.712
6.074 0.357 10.215
-1.506 2.634 8.351
5.861 3.997 6.989
2.848 13.420 -1.720
1.506 11.343 0.357
3.997 6.989 5.861
0.357 1.506 11.343
3.997 10.429 2.848
9.066 7.202 6.074
1.506 6.074 8.351
2.848 3.997 10.429
-2.848 4.712 10.429
7.202 6.074 9.066
-1.720 11.557 3.997
-2.634 8.351 7.202
-1.720 2.848 13.420
6.074 9.066 7.202
-4.712 10.429 5.861
0.357 10.215 6.074
```

ΔE_f (raw)   -3811 kJ/mol of formula units
Density   2.71 g/cm3
Electronic total energy   -97.97 eV/f.u.
SG   No. 230
Volume   2641.9 Å³ per cell

***

Here is a relaxed K2EuCl4 crystal from Alexandria. Energies are from PBE-GGA.

Geometry as POSCAR:
```
K2EuCl4
1.0
-2.797 2.797 8.112
2.797 -2.797 8.112
2.797 2.797 -8.112
K Eu Cl
2 1 4
Cartesian
0.000 0.000 2.286
0.000 0.000 13.938
0.000 0.000 8.112
2.797 0.000 0.000
0.000 0.000 5.293
0.000 2.797 0.000
0.000 0.000 10.932
```

ΔE_f (raw)   -1398 kJ/mol of formula units
Density   2.43 g/cm3
Electronic total energy   -34.35 eV/f.u.
SG   No. 139
Volume   253.9 Å³ per cell

***

Here is a relaxed K12Eu3Cl5 crystal from Alexandria. Energies are from PBE-GGA.

Geometry as POSCAR:
```
K12Eu3Cl5
1.0
-10.537 10.537 10.537
10.537 -10.537 10.537
10.537 10.537 -10.537
K Eu Cl
48 12 20
Cartesian
2.971 -0.915 0.964
12.835 6.232 -6.184
13.508 0.915 0.964
12.835 -4.305 6.184
9.622 -0.964 2.971
16.721 -2.298 4.305
0.964 2.971 -0.915
14.842 4.353 -2.298
6.232 6.184 -2.298
9.573 2.971 0.915
-0.915 0.964 2.971
6.184 -2.298 6.232
9.622 9.573 -2.971
6.184 2.298 4.305
6.232 -6.184 12.835
9.573 -2.971 9.622
4.305 6.184 2.298
11.501 7.566 0.915
6.184 12.835 -4.305
9.622 0.964 7.566
2.971 9.622 -0.964
12.835 4.305 4.353
2.298 4.305 6.184
2.971 0.915 9.573
7.566 9.622 0.964
8.240 6.232 4.353
-2.298 6.232 6.184
7.566 0.915 11.501
0.915 9.573 2.971
4.353 -2.298 14.842
-0.964 2.971 9.622
6.232 4.353 8.240
0.964 13.508 0.915
4.305 16.721 -2.298
4.353 8.240 6.232
0.915 0.964 13.508
4.353 12.835 4.305
11.453 9.573 7.566
0.964 7.566 9.622
4.305 4.353 12.835
-4.305 6.184 12.835
9.573 7.566 11.453
-6.184 12.835 6.232
0.915 11.501 7.566
-2.298 14.842 4.353
-2.971 9.622 9.573
-2.298 4.305 16.721
7.566 11.453 9.573
5.269 2.634 0.000
10.537 5.269 -2.634
2.634 0.000 5.269
13.171 0.000 5.269
0.000 5.269 2.634
5.269 -2.634 10.537
5.269 13.171 0.000
10.537 5.269 7.903
-2.634 10.537 5.269
7.903 10.537 5.269
0.000 5.269 13.171
5.269 7.903 10.537
0.000 0.000 0.000
5.269 5.269 -5.269
5.269 -5.269 5.269
10.537 0.000 0.000
15.806 2.634 0.000
10.537 -5.269 7.903
7.903 10.537 -5.269
7.903 0.000 5.269
5.269 7.903 0.000
10.537 5.269 2.634
-5.269 5.269 5.269
0.000 10.537 0.000
0.000 0.000 10.537
5.269 5.269 5.269
0.000 5.269 7.903
5.269 2.634 10.537
2.634 10.537 5.269
2.634 0.000 15.806
0.000 15.806 2.634
-5.269 7.903 10.537
```

ΔE_f (raw)   -1307 kJ/mol of formula units
Density   1.56 g/cm3
Electronic total energy   -66.77 eV/f.u.
SG   No. 230
Volume   4679.9 Å³ per cell

***

Here is a relaxed K2LiEuCl6 crystal from Alexandria. Energies are from PBE-GGA.

Geometry as POSCAR:
```
K2LiEuCl6
1.0
0.000 5.242 5.242
5.242 0.000 5.242
5.242 5.242 0.000
K Li Eu Cl
2 1 1 6
Cartesian
2.621 2.621 2.621
7.863 7.863 7.863
0.000 0.000 0.000
5.242 5.242 5.242
5.242 5.242 2.548
5.242 2.548 5.242
7.936 5.242 5.242
2.548 5.242 5.242
5.242 7.936 5.242
5.242 5.242 7.936
```

ΔE_f (raw)   -1811 kJ/mol of formula units
Density   2.59 g/cm3
Electronic total energy   -44.23 eV/f.u.
SG   No. 225
Volume   288.1 Å³ per cell

***

Here is a relaxed K2NaEuCl6 crystal from Alexandria. Energies are from PBE-GGA.

Geometry as POSCAR:
```
K2NaEuCl6
1.0
3.833 2.213 6.247
-3.833 2.213 6.247
0.000 -4.425 6.247
K Na Eu Cl
2 1 1 6
Cartesian
0.000 0.000 4.687
0.000 0.000 14.053
0.000 0.000 0.000
0.000 0.000 9.370
0.000 -2.201 7.816
-1.906 1.101 7.816
-1.906 -1.101 10.923
1.906 1.101 7.816
1.906 -1.101 10.923
0.000 2.201 10.923
```

ΔE_f (raw)   -1800 kJ/mol of formula units
Density   2.43 g/cm3
Electronic total energy   -43.52 eV/f.u.
SG   No. 166
Volume   317.8 Å³ per cell

***

Here is a relaxed KRb2EuCl6 crystal from Alexandria. Energies are from PBE-GGA.

Geometry as POSCAR:
```
KRb2EuCl6
1.0
0.000 5.693 5.693
5.693 0.000 5.693
5.693 5.693 0.000
K Rb Eu Cl
1 2 1 6
Cartesian
0.000 0.000 0.000
2.847 2.847 2.847
8.540 8.540 8.540
5.693 5.693 5.693
5.693 5.693 2.990
5.693 2.990 5.693
8.396 5.693 5.693
2.990 5.693 5.693
5.693 8.396 5.693
5.693 5.693 8.396
```

ΔE_f (raw)   -1839 kJ/mol of formula units
Density   2.59 g/cm3
Electronic total energy   -43.45 eV/f.u.
SG   No. 225
Volume   369.0 Å³ per cell

***

Here is a relaxed La2EuCl crystal from Alexandria. Energies are from PBE-GGA.

Geometry as POSCAR:
```
La2EuCl
1.0
1.818 1.050 11.560
-1.818 1.050 11.560
0.000 -2.100 11.560
La Eu Cl
2 1 1
Cartesian
0.000 0.000 3.495
0.000 0.000 31.185
0.000 0.000 0.000
0.000 0.000 17.340
```

ΔE_f (raw)   -221 kJ/mol of formula units
Density   5.83 g/cm3
Electronic total energy   -24.26 eV/f.u.
SG   No. 166
Volume   132.4 Å³ per cell

***

Here is a relaxed LaEuCl2 crystal from Alexandria. Energies are from PBE-GGA.

Geometry as POSCAR:
```
LaEuCl2
1.0
1.868 1.079 8.686
-1.868 1.079 8.686
0.000 -2.157 8.686
La Eu Cl
1 1 2
Cartesian
0.000 0.000 0.000
0.000 0.000 13.030
0.000 0.000 6.521
0.000 0.000 19.538
```

ΔE_f (raw)   -602 kJ/mol of formula units
Density   5.72 g/cm3
Electronic total energy   -25.14 eV/f.u.
SG   No. 166
Volume   105.0 Å³ per cell

***

Here is a relaxed LiEuCl3 crystal from Alexandria. Energies are from PBE-GGA.

Geometry as POSCAR:
```
LiEuCl3
1.0
4.789 0.000 0.000
0.000 4.789 0.000
0.000 0.000 4.789
Li Eu Cl
1 1 3
Cartesian
0.000 0.000 0.000
2.395 2.395 2.395
0.000 0.000 2.395
0.000 2.395 0.000
2.395 0.000 0.000
```

ΔE_f (raw)   -946 kJ/mol of formula units
Density   4.01 g/cm3
Electronic total energy   -27.54 eV/f.u.
SG   No. 221
Volume   109.8 Å³ per cell

***

Here is a relaxed Rb2LiEuCl6 crystal from Alexandria. Energies are from PBE-GGA.

Geometry as POSCAR:
```
Rb2LiEuCl6
1.0
0.000 5.286 5.286
5.286 0.000 5.286
5.286 5.286 0.000
Rb Li Eu Cl
2 1 1 6
Cartesian
2.643 2.643 2.643
7.929 7.929 7.929
0.000 0.000 0.000
5.286 5.286 5.286
5.286 5.286 2.580
5.286 2.580 5.286
7.992 5.286 5.286
2.580 5.286 5.286
5.286 7.992 5.286
5.286 5.286 7.992
```

ΔE_f (raw)   -1842 kJ/mol of formula units
Density   3.05 g/cm3
Electronic total energy   -44.29 eV/f.u.
SG   No. 225
Volume   295.4 Å³ per cell